# 1
LaReN3 | GGA-PBE | optimized geometry

The structure in POSCAR format:
```
LaReN3
1.0
3.9102 0.0000 0.0000
1.9538 6.6347 0.0000
1.9481 0.3327 6.8672
La Re N
2 2 6
Direct
0.0000 0.0000 0.0000
0.1666 0.1902 0.4776
0.3443 0.4424 0.8683
0.6948 0.5127 0.0978
0.2537 0.8490 0.6401
0.2817 0.6956 0.7389
0.4108 0.9592 0.2203
0.5233 0.1942 0.7584
0.5327 0.7778 0.1574
0.7087 0.3042 0.2789
```

* DOS(E_F): 0.000 states/eV/atom
* space-group type: P1, No. 1
* E_form (uncorrected): -46.9 kJ/mol of atoms
* total DFT energy (no corrections): -8.956 eV/atom
* ρ: 6.84 Mg/m³



# 2
LaReN3 | GGA-PBE | optimized geometry

The structure in POSCAR format:
```
LaReN3
1.0
0.0000 5.2031 5.2031
5.2031 0.0000 5.2031
5.2031 5.2031 0.0000
La Re N
4 4 12
Direct
0.0000 0.0000 0.0000
0.0000 0.0000 0.5000
0.0000 0.5000 0.0000
0.5000 0.0000 0.0000
0.0000 0.5000 0.5000
0.5000 0.0000 0.5000
0.5000 0.5000 0.0000
0.5000 0.5000 0.5000
0.1789 0.1789 0.5711
0.1789 0.5711 0.1789
0.1789 0.5711 0.5711
0.4289 0.4289 0.8211
0.4289 0.8211 0.4289
0.4289 0.8211 0.8211
0.5711 0.1789 0.1789
0.5711 0.1789 0.5711
0.5711 0.5711 0.1789
0.8211 0.4289 0.4289
0.8211 0.4289 0.8211
0.8211 0.8211 0.4289
```

* DOS(E_F): 0.489 states/eV/atom
* space-group type: Fd-3m, No. 227
* E_form (uncorrected): -31.7 kJ/mol of atoms
* total DFT energy (no corrections): -8.799 eV/atom
* ρ: 8.66 Mg/m³



# 3
LaReN3 | GGA-PBE | optimized geometry

The structure in POSCAR format:
```
LaReN3
1.0
6.6280 -1.8902 0.0000
6.6280 1.8902 0.0000
-1.9318 0.0000 5.9864
La Re N
2 2 6
Direct
0.1213 0.1213 0.3197
0.8787 0.8787 0.6803
0.3460 0.3460 0.1463
0.6540 0.6540 0.8537
0.1875 0.1875 0.9753
0.3266 0.3266 0.4287
0.4850 0.4850 0.0913
0.5150 0.5150 0.9087
0.6734 0.6734 0.5713
0.8125 0.8125 0.0247
```

* DOS(E_F): 0.433 states/eV/atom
* space-group type: C2/m, No. 12
* E_form (uncorrected): -43.1 kJ/mol of atoms
* total DFT energy (no corrections): -8.917 eV/atom
* ρ: 8.13 Mg/m³



# 4
LaReN3 | GGA-PBE | optimized geometry

The structure in POSCAR format:
```
LaReN3
1.0
3.9252 0.0000 0.0000
0.0000 3.5764 0.0000
-0.6936 0.0000 5.0299
La Re N
1 1 3
Direct
0.0000 0.0000 0.0000
0.4263 0.5000 0.5925
0.3829 0.5000 0.2141
0.5532 0.5000 0.0055
0.9346 0.5000 0.6073
```

* DOS(E_F): 0.399 states/eV/atom
* space-group type: Pm, No. 6
* E_form (uncorrected): -37.6 kJ/mol of atoms
* total DFT energy (no corrections): -8.860 eV/atom
* ρ: 8.63 Mg/m³



# 5
LaReN3 | GGA-PBE | optimized geometry

The structure in POSCAR format:
```
LaReN3
1.0
3.9048 0.0000 0.0000
1.0746 6.5271 0.0000
1.4585 2.7174 5.9301
La Re N
2 2 6
Direct
0.0000 0.0000 0.0000
0.4639 0.5872 0.5630
0.4457 0.4576 0.1451
0.8187 0.1556 0.4305
0.0736 0.4051 0.4003
0.5412 0.1163 0.6913
0.5590 0.7170 0.1258
0.8165 0.4159 0.8775
0.9606 0.8761 0.4154
0.9953 0.3587 0.0554
```

* DOS(E_F): 0.001 states/eV/atom
* space-group type: P1, No. 1
* E_form (uncorrected): -45.3 kJ/mol of atoms
* total DFT energy (no corrections): -8.940 eV/atom
* ρ: 8.07 Mg/m³



# 6
La2ReN4 | GGA-PBE | optimized geometry

The structure in POSCAR format:
```
La2ReN4
1.0
3.9444 0.0000 0.0000
0.0000 3.9444 0.0000
0.0000 0.0000 12.7642
La Re N
4 2 8
Direct
0.0000 0.0000 0.1457
0.0000 0.0000 0.8543
0.5000 0.5000 0.3543
0.5000 0.5000 0.6457
0.0000 0.0000 0.5000
0.5000 0.5000 0.0000
0.0000 0.0000 0.3356
0.0000 0.0000 0.6644
0.0000 0.5000 0.0000
0.0000 0.5000 0.5000
0.5000 0.0000 0.0000
0.5000 0.0000 0.5000
0.5000 0.5000 0.1644
0.5000 0.5000 0.8356
```

* polymorph energy (0 for the lowest one): 0.0 kJ per mole of atoms
* DOS(E_F): 0.316 states/eV/atom
* space-group type: I4/mmm, No. 139
* E_form (uncorrected): -92.5 kJ/mol of atoms
* total DFT energy (no corrections): -8.902 eV/atom
* ρ: 8.70 Mg/m³



# 7
LaReN3 | GGA-PBE | optimized geometry

The structure in POSCAR format:
```
LaReN3
1.0
5.4605 -5.1473 0.0000
5.4605 5.1473 0.0000
-2.1271 0.0000 6.0183
La Re N
4 4 12
Direct
0.0968 0.9032 0.7500
0.3148 0.6852 0.2500
0.6852 0.3148 0.7500
0.9032 0.0968 0.2500
0.2046 0.3789 0.7576
0.3789 0.2046 0.2576
0.6211 0.7954 0.7424
0.7954 0.6211 0.2424
0.0035 0.2308 0.6617
0.1440 0.6180 0.8546
0.2308 0.0035 0.1617
0.3335 0.3528 0.5272
0.3528 0.3335 0.0272
0.3820 0.8560 0.6454
0.6180 0.1440 0.3546
0.6472 0.6665 0.9728
0.6665 0.6472 0.4728
0.7692 0.9965 0.8383
0.8560 0.3820 0.1454
0.9965 0.7692 0.3383
```

* DOS(E_F): 0.091 states/eV/atom
* space-group type: C2/c, No. 15
* E_form (uncorrected): -66.6 kJ/mol of atoms
* total DFT energy (no corrections): -9.161 eV/atom
* ρ: 7.21 Mg/m³



# 8
La2ReN | GGA-PBE | optimized geometry

The structure in POSCAR format:
```
La2ReN
1.0
3.4045 0.0000 0.0000
-1.7023 2.9484 0.0000
0.0000 0.0000 25.5580
La Re N
6 3 3
Direct
0.0000 0.0000 0.1061
0.0000 0.0000 0.8939
0.3333 0.6667 0.5606
0.3333 0.6667 0.7728
0.6667 0.3333 0.2272
0.6667 0.3333 0.4394
0.0000 0.0000 0.0000
0.3333 0.6667 0.6667
0.6667 0.3333 0.3333
0.0000 0.0000 0.5000
0.3333 0.6667 0.1667
0.6667 0.3333 0.8333
```

* DOS(E_F): 1.080 states/eV/atom
* space-group type: R-3m, No. 166
* E_form (uncorrected): 21.9 kJ/mol of atoms
* total DFT energy (no corrections): -7.430 eV/atom
* ρ: 9.28 Mg/m³



# 9
LaReN3 | GGA-PBE | optimized geometry

The structure in POSCAR format:
```
LaReN3
1.0
5.8139 0.0000 0.0000
-2.5588 5.5461 0.0000
-1.6357 -1.6222 6.0026
La Re N
2 2 6
Direct
0.0000 0.0000 0.0000
0.4756 0.6790 0.3785
0.3071 0.1016 0.5951
0.6996 0.3751 0.9911
0.0407 0.4346 0.0483
0.3418 0.2475 0.3712
0.4534 0.0154 0.9506
0.5209 0.9535 0.7674
0.6758 0.6453 0.0972
0.9716 0.9373 0.5948
```

* DOS(E_F): 0.000 states/eV/atom
* space-group type: P1, No. 1
* E_form (uncorrected): -39.6 kJ/mol of atoms
* total DFT energy (no corrections): -8.881 eV/atom
* ρ: 6.30 Mg/m³



# 10
LaRe4N8 | GGA-PBE | optimized geometry

The structure in POSCAR format:
```
LaRe4N8
1.0
3.2447 1.8733 4.6928
-3.2447 1.8733 4.6928
0.0000 -3.7466 4.6928
La Re N
1 4 8
Direct
0.0000 0.0000 0.0000
0.0000 0.5000 0.5000
0.5000 0.0000 0.5000
0.5000 0.5000 0.0000
0.5000 0.5000 0.5000
0.2676 0.2676 0.2676
0.2694 0.2694 0.7013
0.2694 0.7013 0.2694
0.2987 0.7306 0.7306
0.7013 0.2694 0.2694
0.7306 0.2987 0.7306
0.7306 0.7306 0.2987
0.7324 0.7324 0.7324
```

* DOS(E_F): 0.681 states/eV/atom
* space-group type: R-3m, No. 166
* E_form (uncorrected): 20.1 kJ/mol of atoms
* total DFT energy (no corrections): -9.124 eV/atom
* ρ: 9.66 Mg/m³